Record 1
A geometry-optimized NaReSbI2 structure. Source: Alexandria via LeMat-Bulk, functional PBE.

The crystal system is tetragonal. The total energy comes out at -19.34 eV/cell. As for the energy above the most stable polymorph in this dataset: 0.00 eV per formula unit.

Cell lengths 5.8604, 5.8604, 5.0940 Å; angles 90.00, 90.00, 90.00 degrees
Space group P4/mmm (No. 123)
Inequivalent atoms, fractional coordinates:
Na  0.0000  0.0000  0.0000 [1 per cell]
Re  0.5000  0.5000  0.5000 [1 per cell]
Sb  0.5000  0.5000  0.0000 [1 per cell]
I  0.0000  0.5000  0.5000 [2 per cell]

=====

Record 2
A geometry-optimized BaPmCl4 structure. Source: Alexandria via LeMat-Bulk, functional PBE.

The crystal system is monoclinic. The total energy comes out at -110.65 eV/cell.

Cell lengths 9.3325, 13.4912, 6.7331 Å; angles 90.00, 122.92, 90.00 degrees
Space group C2/c (No. 15)
Inequivalent atoms, fractional coordinates:
Ba  0.0000  0.1380  0.2500 [4 per cell]
Pm  0.0000  0.4973  0.7500 [4 per cell]
Cl  0.1103  0.3318  0.5749 [8 per cell]
Cl  0.2112  0.0587  0.7786 [8 per cell]

=====

Record 3
A geometry-optimized Na2NiAgH6 structure. Source: Alexandria via LeMat-Bulk, functional PBE.

The crystal system is trigonal. The total energy comes out at -32.04 eV/cell.

Cell lengths 5.0286, 5.0286, 5.0733 Å; angles 90.00, 90.00, 120.00 degrees
Space group P-3m1 (No. 164)
Inequivalent atoms, fractional coordinates:
Na  0.3333  0.6667  0.3075 [2 per cell]
Ni  0.0000  0.0000  0.5000 [1 per cell]
Ag  0.0000  0.0000  0.0000 [1 per cell]
H  0.1487  0.2973  0.6831 [6 per cell]